1.
## SiPtPb2 (GGA-PBE)

Data for a relaxed SiPtPb2 crystal.

Cell: 5.3064 5.3064 5.3064 Å, 128.21 128.21 76.28°
Positions (direct):
Si (0.7500, 0.2500, 0.5000)
Pb (0.0000, 0.0000, 0.0000)
Pb (0.2500, 0.7500, 0.5000)
Pt (0.5000, 0.5000, 0.0000)

## Properties
Uncorrected energy   -4.392 eV per atom

=====

2.
## Rb2Sm2PuS6 (GGA-PBE)

Data for a relaxed Rb2Sm2PuS6 crystal.

Cell: 7.0818 7.0818 8.2211 Å, 98.45 98.45 119.76°
Each line ends with the local moment (μB).
Positions (direct):
Sm (0.6662, 0.3338, 0.5000)  0.01
Sm (0.3338, 0.6662, 0.5000)  0.01
S (0.6149, 0.9386, 0.3127)  -0.06
S (0.7452, 0.7452, 0.6869)  -0.07
S (0.9386, 0.6149, 0.3127)  -0.06
S (0.3851, 0.0614, 0.6873)  -0.06
S (0.2548, 0.2548, 0.3131)  -0.07
S (0.0614, 0.3851, 0.6873)  -0.06
Rb (0.8306, 0.1694, 0.0000)  0.00
Rb (0.1694, 0.8306, 0.0000)  0.00
Pu (0.0000, 0.0000, 0.5000)  4.50

## Properties
Uncorrected energy   -6.307 eV per atom